Here is a relaxed Er2H5Rh2 crystal from Alexandria via LeMat-Bulk. Energies are from PBE-GGA.

POSCAR file:
```
Er2H5Rh2
1.0
-3.153 3.629 1.645
-3.217 -3.519 1.597
6.496 -0.130 4.886
Er H Rh
4 10 4
direct
0.630 0.140 0.261
0.370 0.879 0.739
0.870 0.379 0.739
0.130 0.640 0.261
0.000 0.009 0.500
0.389 0.383 0.748
0.250 0.759 0.000
0.250 0.259 0.000
0.611 0.636 0.252
0.750 0.760 0.000
0.750 0.260 0.000
0.000 0.509 0.500
0.859 0.883 0.747
0.141 0.136 0.253
0.500 0.510 0.000
0.283 0.260 0.500
0.717 0.759 0.500
0.000 0.010 0.000
```

Computed properties:
electronic total energy: -92.06 eV for the cell shown
symmetry: Imma, No. 74
total magnetic moment: 0.00 μB/f.u.
density: 9.71 g/cm3